[1]
Below is a geometry-optimized CaFe2I8 structure, with properties calculated at the PBE level.

Unit cell a=8.9041 b=8.9041 c=7.1119 alpha=94.49 beta=94.49 gamma=81.00
Last column: nearest neighbours and their distance in Å.
Fractional coordinates of all 11 atoms:
Ca: 0.0000 0.0000 0.0000  6 I 3.14-3.20
Fe: 0.1983 0.1983 0.6505  4 I 2.50-2.59
Fe: 0.8017 0.8017 0.3495  4 I 2.50-2.59
I: 0.0737 0.7121 0.2388  1 Fe 2.59
I: 0.1978 0.1978 0.2881  1 Fe 2.58
I: 0.2879 0.9263 0.7612  1 Fe 2.59
I: 0.3764 0.3764 0.7845  1 Fe 2.50
I: 0.6236 0.6236 0.2155  1 Fe 2.50
I: 0.7121 0.0737 0.2388  1 Fe 2.59
I: 0.8022 0.8022 0.7119  1 Fe 2.58
I: 0.9263 0.2879 0.7612  1 Fe 2.59

Values from the calculation:
E   -3.40 eV/atom
SG   C2/m

[2]
Below is a geometry-optimized Ca3FeI structure, with properties calculated at the PBE level.

Unit cell a=5.7732 b=5.7732 c=5.7732 alpha=90.00 beta=90.00 gamma=90.00
Last column: nearest neighbours and their distance in Å.
Fractional coordinates of all 5 atoms:
Ca: 0.0000 0.0000 0.5000  2 I 2.89
Ca: 0.0000 0.5000 0.0000  2 I 2.89
Ca: 0.5000 0.0000 0.0000  2 I 2.89
Fe: 0.5000 0.5000 0.5000  12 Ca 4.08
I: 0.0000 0.0000 0.0000  6 Ca 2.89

Values from the calculation:
E   -2.37 eV/atom
SG   Pm-3m

[3]
Below is a geometry-optimized KCaFe2I8 structure, with properties calculated at the PBE level.

Unit cell a=7.4663 b=7.4663 c=10.7767 alpha=90.00 beta=90.00 gamma=120.00
Last column: nearest neighbours and their distance in Å.
Fractional coordinates of all 12 atoms:
K: 0.0000 0.0000 0.0000  12 I 4.26-4.31
Ca: 0.0000 0.0000 0.5000  6 I 3.16
Fe: 0.3333 0.6667 0.7524  4 I 2.55-2.61
Fe: 0.6667 0.3333 0.2476  4 I 2.55-2.61
I: 0.0002 0.3337 0.6798  1 Fe 2.61
I: 0.9998 0.6663 0.3202  1 Fe 2.61
I: 0.3335 0.9998 0.6798  1 Fe 2.61
I: 0.3333 0.6667 0.9887  1 Fe 2.55
I: 0.3337 0.3335 0.3202  1 Fe 2.61
I: 0.6663 0.6665 0.6798  1 Fe 2.61
I: 0.6665 0.0002 0.3202  1 Fe 2.61
I: 0.6667 0.3333 0.0113  1 Fe 2.55

Values from the calculation:
E   -3.41 eV/atom
SG   P-3

[4]
Below is a geometry-optimized CaLa2FeI structure, with properties calculated at the PBE level.

Unit cell a=6.0848 b=6.0848 c=4.7973 alpha=90.00 beta=90.00 gamma=90.00
Last column: nearest neighbours and their distance in Å.
Fractional coordinates of all 5 atoms:
Ca: 0.0000 0.0000 0.0000  8 La 3.87, 4 Fe 4.30
La: 0.0000 0.5000 0.5000  2 I 3.04
La: 0.5000 0.0000 0.5000  2 I 3.04
Fe: 0.5000 0.5000 0.0000  2 I 2.40
I: 0.5000 0.5000 0.5000  2 Fe 2.40

Values from the calculation:
E   -4.07 eV/atom
SG   P4/mmm

[5]
Below is a geometry-optimized CaFeIN2 structure, with properties calculated at the PBE level.

Unit cell a=4.4932 b=4.4932 c=6.3283 alpha=90.00 beta=90.00 gamma=90.00
Last column: nearest neighbours and their distance in Å.
Fractional coordinates of all 5 atoms:
Ca: 0.0000 0.0000 0.0000  4 N 2.25
Fe: 0.5000 0.5000 0.5000  4 I 3.18
I: 0.0000 0.0000 0.5000  2 Ca 3.16, 4 Fe 3.18
N: 0.0000 0.5000 0.0000  2 Ca 2.25
N: 0.5000 0.0000 0.0000  2 Ca 2.25

Values from the calculation:
Energy above the lowest structure with this stoichiometry   1026 meV/atom
E   -4.18 eV/atom
SG   P4/mmm

[6]
Below is a geometry-optimized CaFeIN2 structure, with properties calculated at the PBE level.

Unit cell a=4.0016 b=4.0016 c=5.3096 alpha=90.00 beta=90.00 gamma=90.00
Last column: nearest neighbours and their distance in Å.
Fractional coordinates of all 5 atoms:
Ca: 0.0000 0.0000 0.0000  4 I 2.83
Fe: 0.5000 0.5000 0.5000  4 N 2.00
I: 0.5000 0.5000 0.0000  2 Fe 2.65, 4 Ca 2.83
N: 0.0000 0.5000 0.5000  2 Fe 2.00
N: 0.5000 0.0000 0.5000  2 Fe 2.00

Values from the calculation:
Energy above the lowest structure with this stoichiometry   0 meV/atom
E   -5.20 eV/atom
SG   P4/mmm